No. 1
Compound: Ac3SmGe2
Source: the Alexandria database
Functional: PBE-GGA
Structure: relaxed

Cell and atoms, written as CIF:
```
data_Ac3SmGe2
_cell_length_a 4.686
_cell_length_b 4.899
_cell_length_c 9.281
_cell_angle_alpha 105.26
_cell_angle_beta 104.62
_cell_angle_gamma 90.00
_space_group_name_H-M_alt 'P 1'
_space_group_IT_number 1
loop_
_space_group_symop_operation_xyz
'x,y,z'
loop_
_atom_site_label
_atom_site_fract_x
_atom_site_fract_y
_atom_site_fract_z
Ge1 0.630 0.129 0.259
Ge2 0.370 0.871 0.741
Ac1 0.500 0.500 0.000
Ac2 0.818 0.318 0.636
Ac3 0.182 0.682 0.364
Sm1 0.000 0.000 0.000
```

Its theoretical density is 8.2 Mg/m³. The density of states at the Fermi level comes out at 1.09 states/eV per atom. Its formation energy is -0.5085 eV/atom. As for the total moment: 0.2 Bohr magnetons per cell.

***

No. 2
Compound: Ac2SmGe
Source: the Alexandria database
Functional: PBE-GGA
Structure: relaxed

Cell and atoms, written as CIF:
```
data_Ac2SmGe
_cell_length_a 3.931
_cell_length_b 3.931
_cell_length_c 11.938
_cell_angle_alpha 80.52
_cell_angle_beta 80.52
_cell_angle_gamma 60.00
_space_group_name_H-M_alt 'P 1'
_space_group_IT_number 1
loop_
_space_group_symop_operation_xyz
'x,y,z'
loop_
_atom_site_label
_atom_site_fract_x
_atom_site_fract_y
_atom_site_fract_z
Sm1 0.000 0.000 0.000
Ac1 0.106 0.106 0.683
Ac2 0.894 0.894 0.317
Ge1 0.500 0.500 0.500
```

Its theoretical density is 7.2 Mg/m³. The density of states at the Fermi level comes out at 1.67 states/eV per atom. For the distance to the lowest polymorph of the same formula, the calculation gives 1.12 eV per formula unit. Its formation energy is 0.0735 eV/atom. As for the total moment: 0.6 Bohr magnetons per cell.

***

No. 3
Compound: Ac2SmGe
Source: the Alexandria database
Functional: PBE-GGA
Structure: relaxed

Cell and atoms, written as CIF:
```
data_Ac2SmGe
_cell_length_a 4.897
_cell_length_b 5.140
_cell_length_c 5.140
_cell_angle_alpha 90.00
_cell_angle_beta 90.00
_cell_angle_gamma 90.00
_space_group_name_H-M_alt 'P 1'
_space_group_IT_number 1
loop_
_space_group_symop_operation_xyz
'x,y,z'
loop_
_atom_site_label
_atom_site_fract_x
_atom_site_fract_y
_atom_site_fract_z
Ac1 0.000 0.500 0.000
Ac2 0.000 0.000 0.500
Ge1 0.500 0.500 0.500
Sm1 0.500 0.000 0.000
```

Its theoretical density is 8.7 Mg/m³. The density of states at the Fermi level comes out at 1.09 states/eV per atom. For the distance to the lowest polymorph of the same formula, the calculation gives 0.00 eV per formula unit. Its formation energy is -0.2073 eV/atom. As for the total moment: 0.0 Bohr magnetons per cell.

***

No. 4
Compound: Ac5Sm2Ge5
Source: the Alexandria database
Functional: PBE-GGA
Structure: relaxed

Cell and atoms, written as CIF:
```
data_Ac5Sm2Ge5
_cell_length_a 4.487
_cell_length_b 7.760
_cell_length_c 12.907
_cell_angle_alpha 106.82
_cell_angle_beta 90.00
_cell_angle_gamma 106.81
_space_group_name_H-M_alt 'P 1'
_space_group_IT_number 1
loop_
_space_group_symop_operation_xyz
'x,y,z'
loop_
_atom_site_label
_atom_site_fract_x
_atom_site_fract_y
_atom_site_fract_z
Ge1 0.681 0.361 0.798
Ge2 0.000 0.000 0.000
Ge3 0.113 0.225 0.414
Ge4 0.887 0.775 0.586
Ge5 0.319 0.639 0.202
Sm1 0.957 0.915 0.211
Sm2 0.043 0.085 0.789
Ac1 0.658 0.316 0.050
Ac2 0.342 0.684 0.950
Ac3 0.259 0.517 0.646
Ac4 0.741 0.483 0.354
Ac5 0.500 0.000 0.500
```

Its theoretical density is 7.3 Mg/m³. The density of states at the Fermi level comes out at 0.53 states/eV per atom. Its formation energy is -0.6237 eV/atom. As for the total moment: 0.0 Bohr magnetons per cell.

***

No. 5
Compound: AcSmTlGe
Source: the Alexandria database
Functional: PBE-GGA
Structure: relaxed

Cell and atoms, written as CIF:
```
data_AcSmTlGe
_cell_length_a 5.511
_cell_length_b 5.511
_cell_length_c 5.511
_cell_angle_alpha 60.00
_cell_angle_beta 60.00
_cell_angle_gamma 60.00
_space_group_name_H-M_alt 'P 1'
_space_group_IT_number 1
loop_
_space_group_symop_operation_xyz
'x,y,z'
loop_
_atom_site_label
_atom_site_fract_x
_atom_site_fract_y
_atom_site_fract_z
Sm1 0.000 0.000 0.000
Ge1 0.750 0.750 0.750
Ac1 0.500 0.500 0.500
Tl1 0.250 0.250 0.250
```

Its theoretical density is 9.2 Mg/m³. The density of states at the Fermi level comes out at 0.68 states/eV per atom. Its formation energy is -0.4063 eV/atom. As for the total moment: 0.0 Bohr magnetons per cell.

***

No. 6
Compound: Ac2Sn2Ge3
Source: the Alexandria database
Functional: PBE-GGA
Structure: relaxed

Cell and atoms, written as CIF:
```
data_Ac2Sn2Ge3
_cell_length_a 8.073
_cell_length_b 8.073
_cell_length_c 8.073
_cell_angle_alpha 109.47
_cell_angle_beta 109.47
_cell_angle_gamma 109.47
_space_group_name_H-M_alt 'P 1'
_space_group_IT_number 1
loop_
_space_group_symop_operation_xyz
'x,y,z'
loop_
_atom_site_label
_atom_site_fract_x
_atom_site_fract_y
_atom_site_fract_z
Sn1 0.398 0.500 0.000
Sn2 0.000 0.000 0.898
Sn3 0.102 0.602 0.602
Sn4 0.500 0.898 0.500
Ge1 0.503 0.253 0.750
Ge2 0.250 0.003 0.253
Ge3 0.753 0.750 0.003
Ge4 0.750 0.497 0.247
Ge5 0.747 0.250 0.497
Ge6 0.997 0.247 0.250
Ac1 0.000 0.000 0.486
Ac2 0.514 0.014 0.014
Ac3 0.500 0.486 0.500
Ac4 0.986 0.500 0.000
```

Its theoretical density is 7.5 Mg/m³. The density of states at the Fermi level comes out at 0.66 states/eV per atom. For the distance to the lowest polymorph of the same formula, the calculation gives 0.59 eV per formula unit. Its formation energy is -0.3810 eV/atom. As for the total moment: 0.0 Bohr magnetons per cell.

***

No. 7
Compound: Ac10Sn3Ge3
Source: the Alexandria database
Functional: PBE-GGA
Structure: relaxed

Cell and atoms, written as CIF:
```
data_Ac10Sn3Ge3
_cell_length_a 7.348
_cell_length_b 9.612
_cell_length_c 9.612
_cell_angle_alpha 120.00
_cell_angle_beta 90.00
_cell_angle_gamma 90.00
_space_group_name_H-M_alt 'P 1'
_space_group_IT_number 1
loop_
_space_group_symop_operation_xyz
'x,y,z'
loop_
_atom_site_label
_atom_site_fract_x
_atom_site_fract_y
_atom_site_fract_z
Ac1 0.259 0.667 0.333
Ac2 0.500 0.246 0.246
Ac3 0.000 0.756 0.756
Ac4 0.000 0.000 0.244
Ac5 0.500 0.000 0.754
Ac6 0.500 0.754 0.000
Ac7 0.741 0.333 0.667
Ac8 0.741 0.667 0.333
Ac9 0.259 0.333 0.667
Ac10 0.000 0.244 0.000
Ge1 0.500 0.000 0.391
Ge2 0.500 0.391 0.000
Ge3 0.500 0.609 0.609
Sn1 0.000 0.000 0.603
Sn2 0.000 0.603 0.000
Sn3 0.000 0.397 0.397
```

Its theoretical density is 8.0 Mg/m³. The density of states at the Fermi level comes out at 0.98 states/eV per atom. Its formation energy is -0.5791 eV/atom. As for the total moment: 0.0 Bohr magnetons per cell.

***

No. 8
Compound: Ac7Sn2Ge
Source: the Alexandria database
Functional: PBE-GGA
Structure: relaxed

Cell and atoms, written as CIF:
```
data_Ac7Sn2Ge
_cell_length_a 8.557
_cell_length_b 8.557
_cell_length_c 8.557
_cell_angle_alpha 60.00
_cell_angle_beta 60.00
_cell_angle_gamma 60.00
_space_group_name_H-M_alt 'P 1'
_space_group_IT_number 1
loop_
_space_group_symop_operation_xyz
'x,y,z'
loop_
_atom_site_label
_atom_site_fract_x
_atom_site_fract_y
_atom_site_fract_z
Ac1 0.242 0.758 0.758
Ac2 0.500 0.500 0.500
Ac3 0.242 0.242 0.758
Ac4 0.242 0.758 0.242
Ac5 0.758 0.758 0.242
Ac6 0.758 0.242 0.758
Ac7 0.758 0.242 0.242
Sn1 0.250 0.250 0.250
Sn2 0.750 0.750 0.750
Ge1 0.000 0.000 0.000
```

Its theoretical density is 7.1 Mg/m³. The density of states at the Fermi level comes out at 0.92 states/eV per atom. Its formation energy is 0.2938 eV/atom. As for the total moment: 0.0 Bohr magnetons per cell.